# 1
Material: CrAgW3
Method: DFT, PBE
State: optimized geometry

Unit cell a=4.5101 b=4.5101 c=4.5101 alpha=90.00 beta=90.00 gamma=90.00
Last column: nearest neighbours and their distance in Å.
Space group Pm-3m (No. 221)
Asymmetric unit:
Cr 0.0000 0.0000 0.0000 [1 per cell]  6 W 2.26
Ag 0.5000 0.5000 0.5000 [1 per cell]  12 W 3.19
W 0.0000 0.0000 0.5000 [3 per cell]  2 Cr 2.26

Values from the calculation:
* relative energy among the computed polymorphs: 0 meV/atom
* formation enthalpy at 0 K: 1537 meV/atom
* density: 12.88 g cm⁻³
* crystal system: cubic



# 2
Material: Nd2In12Pt7
Method: DFT, PBE
State: optimized geometry

Unit cell a=11.3461 b=11.3461 c=4.0969 alpha=90.00 beta=90.00 gamma=120.00
Last column: nearest neighbours and their distance in Å.
Space group P-6 (No. 174)
Asymmetric unit:
Nd 0.0000 0.0000 0.0000 [1 per cell]  6 Pt 3.30, 6 In 3.58
Nd 0.3333 0.6667 0.5000 [1 per cell]  6 Pt 3.36, 6 In 3.51
In 0.0492 0.7696 0.5000 [3 per cell]  4 Pt 2.72-2.83, 2 In 3.04
In 0.1118 0.3942 0.0000 [3 per cell]  4 Pt 2.72-2.82
In 0.3886 0.2154 0.0000 [3 per cell]  4 Pt 2.74-2.82, 2 In 3.04
In 0.5305 0.1081 0.5000 [3 per cell]  5 Pt 2.93-3.03, 2 In 3.20
Pt 0.0770 0.6142 0.0000 [3 per cell]  7 In 2.72-2.96
Pt 0.2442 0.0372 0.5000 [3 per cell]  7 In 2.72-2.93
Pt 0.6667 0.3333 0.0000 [1 per cell]  9 In 2.74-3.03

Values from the calculation:
* formation enthalpy at 0 K: -564 meV/atom
* density: 11.02 g cm⁻³
* crystal system: hexagonal



# 3
Material: Ce2HfCo9
Method: DFT, PBE
State: optimized geometry

Unit cell a=4.7915 b=4.7915 c=24.5978 alpha=90.00 beta=90.00 gamma=120.00
Last column: nearest neighbours and their distance in Å.
Space group R-3m (No. 166, hexagonal axes)
Asymmetric unit:
Ce 0.0000 0.0000 0.1389 [6 per cell]  9 Co 2.82-2.85, 3 Ce 3.09
Hf 0.0000 0.0000 0.0000 [3 per cell]  18 Co 2.77-3.07
Co 0.0000 0.0000 0.3328 [6 per cell]  6 Co 2.36-2.38
Co 0.0000 0.0000 0.5000 [3 per cell]  6 Co 2.58, 6 Ce 2.85
Co 0.0011 0.5005 0.0782 [18 per cell]  7 Co 2.36-2.58

Values from the calculation:
* formation enthalpy at 0 K: -179 meV/atom
* density: 10.07 g cm⁻³
* crystal system: trigonal



# 4
Material: SrCu2Au
Method: DFT, PBE
State: optimized geometry

Unit cell a=4.2098 b=4.3591 c=4.4572 alpha=90.00 beta=90.00 gamma=90.00
Last column: nearest neighbours and their distance in Å.
Space group Pmmm (No. 47)
Asymmetric unit:
Sr 0.0000 0.0000 0.0000 [1 per cell]  8 Cu 3.03-3.12, 4 Au 3.07
Cu 0.0000 0.5000 0.5000 [1 per cell]  4 Au 3.03, 4 Cu 3.07, 4 Sr 3.12
Cu 0.5000 0.5000 0.0000 [1 per cell]  4 Sr 3.03, 4 Cu 3.07, 4 Au 3.12
Au 0.5000 0.0000 0.5000 [1 per cell]  8 Cu 3.03-3.12, 4 Sr 3.07

Values from the calculation:
* relative energy among the computed polymorphs: 327 meV/atom
* formation enthalpy at 0 K: 68 meV/atom
* density: 8.36 g cm⁻³
* crystal system: orthorhombic



# 5
Material: ThGeTe2
Method: DFT, PBE
State: optimized geometry

Unit cell a=4.0824 b=4.0824 c=28.3363 alpha=90.00 beta=90.00 gamma=120.00
Last column: nearest neighbours and their distance in Å.
Space group R-3m (No. 166, hexagonal axes)
Asymmetric unit:
Th 0.0000 0.0000 0.0000 [3 per cell]  2 Te 3.02
Ge 0.0000 0.0000 0.5000 [3 per cell]  6 Te 2.91
Te 0.0000 0.0000 0.1065 [6 per cell]  3 Ge 2.91, 1 Th 3.02

Values from the calculation:
* formation energy from raw total energies: -0.0221 eV per atom
* density: 6.82 g cm⁻³
* crystal system: trigonal



# 6
Material: PmSm3Ho7
Method: DFT, PBE
State: optimized geometry

Unit cell a=7.0562 b=7.0562 c=8.6513 alpha=90.00 beta=90.00 gamma=120.00
Last column: nearest neighbours and their distance in Å.
Space group P3m1 (No. 156)
Asymmetric unit:
Pm 0.0000 0.0000 0.0000 [1 per cell]  9 Ho 3.48-3.53, 3 Sm 3.57
Sm 0.1670 0.3340 0.6616 [3 per cell]  4 Sm 3.52-3.53, 5 Ho 3.54-3.56, 1 Pm 3.57
Ho 0.0019 0.5009 0.9998 [3 per cell]  7 Ho 3.46-3.55, 2 Pm 3.53, 2 Sm 3.56
Ho 0.3320 0.1660 0.3267 [3 per cell]  1 Pm 3.48, 8 Ho 3.49-3.54, 2 Sm 3.54
Ho 0.3333 0.6667 0.3247 [1 per cell]  9 Ho 3.46-3.53, 3 Sm 3.55

Values from the calculation:
* relative energy among the computed polymorphs: 37 meV/atom
* formation enthalpy at 0 K: 184 meV/atom
* density: 7.79 g cm⁻³
* crystal system: trigonal